A plane-wave DFT calculation with PBE-GGA was carried out for CaLaP2Rh5 after structural relaxation.

a = 4.0203 Å, b = 4.0203 Å, c = 11.2108 Å
α = 90.00°, β = 90.00°, γ = 90.00°
Sites, in units of the cell vectors:
Ca: 0.0000 0.0000 0.0000
La: 0.0000 0.0000 0.5000
P: 0.5000 0.5000 0.2959
P: 0.5000 0.5000 0.7041
Rh: 0.0000 0.5000 0.2041
Rh: 0.0000 0.5000 0.7959
Rh: 0.5000 0.0000 0.2041
Rh: 0.5000 0.0000 0.7959
Rh: 0.5000 0.5000 0.5000

Calculated values
Electronic total energy   -60.45 eV per cell
Total magnetization   0.000 μB per formula unit
ρ   6.9 Mg/m³
ΔE_f   -660.5 meV/atom